Density functional theory data (PBE) for a geometry-optimized ZnSiH3 structure.

Cell and atoms, written as POSCAR:
```
ZnSiH3
1.0
-2.435 1.850 -1.944
-2.683 -1.755 1.690
-0.079 2.575 2.549
H Zn Si
3 1 1
direct
0.000 0.500 0.000
0.000 0.000 0.500
0.500 0.000 0.000
0.500 0.500 0.500
0.000 0.000 0.000
```

Computed properties:
**DOS at the Fermi energy**: 0.77 states/eV per cell
**Polymorph energy (0 for the lowest one)**: 0 meV per atom

---

Density functional theory data (PBE) for a geometry-optimized ScCoW structure.

Cell and atoms, written as POSCAR:
```
ScCoW
1.0
-2.291 -0.904 -3.390
-3.631 -2.052 0.410
-3.622 1.996 -0.674
Co Sc W
1 1 1
direct
0.750 0.750 0.750
0.000 0.000 0.000
0.500 0.500 0.500
```

Computed properties:
**Formation enthalpy at 0 K**: 0.35 eV per atom
**DOS at the Fermi energy**: 1.85 states/eV per cell
**Polymorph energy (0 for the lowest one)**: 318 meV per atom

---

Density functional theory data (PBE) for a geometry-optimized PrSm3Rh structure.

Cell and atoms, written as POSCAR:
```
PrSm3Rh
1.0
7.437 0.000 0.000
0.000 8.212 -0.187
0.000 -2.941 9.875
Pr Sm Rh
4 12 4
direct
0.963 0.683 0.260
0.037 0.317 0.740
0.463 0.317 0.240
0.537 0.683 0.760
0.130 0.083 0.389
0.870 0.917 0.611
0.630 0.917 0.111
0.370 0.083 0.889
0.497 0.784 0.378
0.503 0.216 0.622
0.997 0.216 0.122
0.003 0.784 0.878
0.211 0.565 0.524
0.789 0.435 0.476
0.711 0.435 0.976
0.289 0.565 0.024
0.258 0.930 0.597
0.742 0.070 0.403
0.758 0.070 0.903
0.242 0.930 0.097
```

Computed properties:
**Formation enthalpy at 0 K**: -0.27 eV per atom
**DOS at the Fermi energy**: 21.11 states/eV per cell
**Polymorph energy (0 for the lowest one)**: 40 meV per atom

---

Density functional theory data (PBE) for a geometry-optimized Ba2Pb structure.

Cell and atoms, written as POSCAR:
```
Ba2Pb
1.0
6.100 0.000 0.000
-3.050 5.283 0.000
0.000 0.000 8.189
Ba Pb
4 2
direct
0.000 0.000 0.000
0.000 0.000 0.500
0.333 0.667 0.250
0.667 0.333 0.750
0.667 0.333 0.250
0.333 0.667 0.750
```

Computed properties:
**Formation enthalpy at 0 K**: -0.50 eV per atom
**DOS at the Fermi energy**: 1.52 states/eV per cell

---

Density functional theory data (PBE) for a geometry-optimized CrMoW5 structure.

Cell and atoms, written as POSCAR:
```
CrMoW5
1.0
-2.312 -6.071 -2.790
0.543 -4.347 5.550
-4.890 -1.680 2.022
Cr Mo W
2 2 10
direct
0.990 0.510 0.250
0.010 0.490 0.750
0.000 0.000 0.000
0.500 0.500 0.500
0.237 0.267 0.009
0.140 0.851 0.577
0.767 0.737 0.509
0.517 0.983 0.250
0.649 0.360 0.923
0.351 0.640 0.077
0.483 0.017 0.750
0.233 0.263 0.491
0.860 0.149 0.423
0.763 0.733 0.991
```

Computed properties:
**Formation enthalpy at 0 K**: 0.59 eV per atom
**DOS at the Fermi energy**: 9.57 states/eV per cell

---

Density functional theory data (PBE) for a geometry-optimized CePm2Ga3 structure.

Cell and atoms, written as POSCAR:
```
CePm2Ga3
1.0
-1.080 -2.187 -2.687
-2.241 -1.706 2.289
-8.135 7.203 -2.594
Ce Pm Ga
1 2 3
direct
0.500 0.500 0.500
0.500 0.500 0.834
0.500 0.500 0.166
0.000 0.000 0.000
0.000 0.000 0.669
0.000 0.000 0.331
```

Computed properties:
**Formation enthalpy at 0 K**: -0.53 eV per atom
**DOS at the Fermi energy**: 7.05 states/eV per cell

---

Density functional theory data (PBE) for a geometry-optimized Tb3Nd12Zn structure.

Cell and atoms, written as POSCAR:
```
Tb3Nd12Zn
1.0
5.083 0.000 0.000
0.000 5.083 0.000
0.000 0.000 20.537
Tb Nd Zn
3 12 1
direct
0.000 0.000 0.245
0.000 0.000 0.500
0.000 0.000 0.755
0.500 0.500 0.000
0.500 0.500 0.243
0.500 0.500 0.500
0.500 0.500 0.757
0.500 0.000 0.118
0.500 0.000 0.372
0.500 0.000 0.628
0.500 0.000 0.882
0.000 0.500 0.118
0.000 0.500 0.372
0.000 0.500 0.628
0.000 0.500 0.882
0.000 0.000 0.000
```

Computed properties:
**Formation enthalpy at 0 K**: 0.01 eV per atom
**DOS at the Fermi energy**: 22.89 states/eV per cell

---

Density functional theory data (PBE) for a geometry-optimized TbSm2YSe4 structure.

Cell and atoms, written as POSCAR:
```
TbSm2YSe4
1.0
4.079 0.000 0.000
0.000 7.232 -0.199
0.000 2.491 6.695
Tb Sm Y Se
1 2 1 4
direct
0.500 0.500 0.000
0.000 0.000 0.000
0.500 0.000 0.500
0.000 0.500 0.500
0.000 0.742 0.752
0.000 0.258 0.248
0.500 0.742 0.253
0.500 0.258 0.747
```

Computed properties:
**DOS at the Fermi energy**: 4.66 states/eV per cell
**Formation energy without anion corrections**: -173.01 kJ/mol of atoms

---

Density functional theory data (PBE) for a geometry-optimized Y2Hf2Tl structure.

Cell and atoms, written as POSCAR:
```
Y2Hf2Tl
1.0
-2.673 5.335 4.806
-5.524 -4.804 2.261
2.766 -1.614 3.330
Y Tl Hf
4 2 4
direct
0.158 0.658 0.500
0.658 0.842 0.500
0.842 0.342 0.500
0.342 0.158 0.500
0.000 0.000 0.000
0.500 0.500 0.000
0.365 0.865 0.000
0.865 0.635 0.000
0.635 0.135 0.000
0.135 0.365 0.000
```

Computed properties:
**Formation enthalpy at 0 K**: 0.12 eV per atom
**DOS at the Fermi energy**: 8.89 states/eV per cell
**Polymorph energy (0 for the lowest one)**: 0 meV per atom

---

Density functional theory data (PBE) for a geometry-optimized MnRuWS2 structure.

Cell and atoms, written as POSCAR:
```
MnRuWS2
1.0
-1.296 0.988 -4.259
1.451 -4.421 -1.467
-4.157 -1.656 0.881
Ru S Mn W
1 2 1 1
direct
0.000 0.500 0.000
0.000 0.000 0.500
0.500 0.000 0.000
0.500 0.500 0.500
0.000 0.000 0.000
```

Computed properties:
**DOS at the Fermi energy**: 5.63 states/eV per cell
**Formation energy without anion corrections**: 127.77 kJ/mol of atoms

---

Density functional theory data (PBE) for a geometry-optimized TlReAgI6 structure.

Cell and atoms, written as POSCAR:
```
TlReAgI6
1.0
7.634 0.000 0.000
-3.817 6.612 0.000
0.000 0.000 14.621
Tl Re Ag I
2 2 2 12
direct
0.000 0.000 0.000
0.000 0.000 0.500
0.667 0.333 0.250
0.333 0.667 0.750
0.333 0.667 0.250
0.667 0.333 0.750
0.644 0.614 0.141
0.970 0.356 0.141
0.356 0.970 0.641
0.030 0.644 0.859
0.386 0.356 0.359
0.970 0.614 0.359
0.614 0.970 0.859
0.644 0.030 0.359
0.030 0.386 0.641
0.386 0.030 0.141
0.614 0.644 0.641
0.356 0.386 0.859
```

Computed properties:
**Formation energy without anion corrections**: -12.38 kJ/mol of atoms

---

Density functional theory data (PBE) for a geometry-optimized Cs9K4Na structure.

Cell and atoms, written as POSCAR:
```
Cs9K4Na
1.0
14.810 0.000 0.000
0.000 12.622 -7.287
0.000 0.000 14.575
Cs K Na
18 8 2
direct
0.055 0.797 0.594
0.055 0.797 0.203
0.055 0.406 0.203
0.945 0.203 0.406
0.945 0.203 0.797
0.945 0.594 0.797
0.555 0.203 0.406
0.555 0.203 0.797
0.555 0.594 0.797
0.445 0.797 0.594
0.445 0.797 0.203
0.445 0.406 0.203
0.250 0.462 0.924
0.250 0.462 0.538
0.250 0.076 0.538
0.750 0.538 0.076
0.750 0.538 0.462
0.750 0.924 0.462
0.250 0.107 0.214
0.250 0.107 0.893
0.250 0.786 0.893
0.750 0.893 0.786
0.750 0.893 0.107
0.750 0.214 0.107
0.000 0.000 0.000
0.500 0.000 0.000
0.250 0.667 0.333
0.750 0.333 0.667
```

Computed properties:
**Formation enthalpy at 0 K**: 0.00 eV per atom
**DOS at the Fermi energy**: 27.50 states/eV per cell

---

Calculated DFT total energy, -2.8476, -8.4440, -5.5261, -3.0203, -11.5849, -4.6119, -4.5112, -6.1020, -6.9167, -6.6065, -3.1245, -0.9569 eV/atom (same order as the records).
Calculated magnetic moment, 0.00, 0.00, 0.00, 0.00, 0.00, 0.78, 0.00, 0.00, 0.00, 0.04, 2.98, 0.00 μB per formula unit (same order as the records).